Material: NdTlRh
Method: DFT, PBE-GGA
State: relaxed

Cell and atoms, written as POSCAR:
```
NdTlRh
1.0
0.0000 3.3894 3.3894
3.3894 0.0000 3.3894
3.3894 3.3894 0.0000
Nd Tl Rh
1 1 1
direct
0.0000 0.0000 0.0000
0.5000 0.5000 0.5000
0.2500 0.2500 0.2500
```

- Space-group type: F-43m (216)
- Formation enthalpy at 0 K: -418.5 meV per atom
- Mass density: 9.63 g/cm3
- DOS at the Fermi energy: 0.502 states/eV per atom
- Calculated volume: 77.87 Å³ per cell